1.
The following is a PBE calculation of a relaxed structure of PrGe2Au3, from Alexandria via LeMat-Bulk.

a = 16.7189 Å, b = 4.5088 Å, c = 7.3908 Å
α = 90.00°, β = 115.96°, γ = 90.00°
Last column: nearest neighbours and their distance in Å.
Space group C2/m (No. 12)
Inequivalent atoms, fractional coordinates:
Pr1 0.1411 0.0000 0.2096  7 Ge 3.17-3.48, 7 Au 3.24-3.51
Ge1 0.0104 0.5000 0.8386  1 Ge 2.56, 4 Au 2.61-2.67
Ge2 0.2057 0.0000 0.6821  4 Au 2.55-2.68
Au1 0.0533 0.0000 0.7201  3 Ge 2.63-2.68
Au2 0.1281 0.5000 0.5112  3 Ge 2.61-2.63
Au3 0.1854 0.5000 0.9462  2 Ge 2.55-2.67

Summary:
**Total moment**: 0.00 μB/f.u.
**Uncorrected energy**: -4.430 eV/atom
**ρ**: 11.63 g/cm3
**E_form**: -0.46 eV per atom

2.
The following is a PBE calculation of a relaxed structure of K2NaEr, from Alexandria via LeMat-Bulk.

a = 3.7369 Å, b = 3.7369 Å, c = 43.8639 Å
α = 90.00°, β = 90.00°, γ = 120.00°
Last column: nearest neighbours and their distance in Å.
Space group R-3m (No. 166, hexagonal axes)
Inequivalent atoms, fractional coordinates:
K1 0.0000 0.0000 0.0842  1 Er 3.69, 6 K 3.74
Na1 0.0000 0.0000 0.5000  6 Na 3.74
Er1 0.0000 0.0000 0.0000  2 K 3.69, 6 Er 3.74

Summary:
**Total moment**: 0.00 μB/f.u.
**Uncorrected energy**: -1.633 eV/atom
**ρ**: 2.52 g/cm3
**E_form**: 0.39 eV per atom

3.
The following is a PBE calculation of a relaxed structure of Tc3HgAs, from Alexandria via LeMat-Bulk.

a = 4.5745 Å, b = 4.5745 Å, c = 4.5745 Å
α = 90.00°, β = 90.00°, γ = 90.00°
Last column: nearest neighbours and their distance in Å.
Space group Pm-3m (No. 221)
Inequivalent atoms, fractional coordinates:
Tc1 0.0000 0.0000 0.5000  2 As 2.29
Hg1 0.5000 0.5000 0.5000  12 Tc 3.23
As1 0.0000 0.0000 0.0000  6 Tc 2.29

Summary:
**Total moment**: 1.57 μB/f.u.
**Uncorrected energy**: -6.151 eV/atom
**ρ**: 9.88 g/cm3
**E_form**: 1.06 eV per atom
**Distance to the lowest polymorph of the same formula**: 0 meV per atom

4.
The following is a PBE calculation of a relaxed structure of Ca3TeBr, from Alexandria via LeMat-Bulk.

a = 5.9666 Å, b = 5.9666 Å, c = 5.9666 Å
α = 90.00°, β = 90.00°, γ = 90.00°
Last column: nearest neighbours and their distance in Å.
Space group Pm-3m (No. 221)
Inequivalent atoms, fractional coordinates:
Ca1 0.0000 0.0000 0.5000  2 Te 2.98
Te1 0.0000 0.0000 0.0000  6 Ca 2.98
Br1 0.5000 0.5000 0.5000  12 Ca 4.22

Summary:
**Energy relative to the elements, uncorrected**: -51 kJ/mol of atoms
**Total moment**: 1.17 μB/f.u.
**Uncorrected energy**: -2.689 eV/atom
**ρ**: 2.56 g/cm3
**Distance to the lowest polymorph of the same formula**: 0 meV per atom

5.
The following is a PBE calculation of a relaxed structure of KSb5, from Alexandria via LeMat-Bulk.

a = 5.7542 Å, b = 15.5066 Å, c = 4.1727 Å
α = 90.00°, β = 90.00°, γ = 90.00°
Last column: nearest neighbours and their distance in Å.
Space group Cmmm (No. 65)
Inequivalent atoms, fractional coordinates:
K1 0.0000 0.0000 0.0000  12 Sb 3.55-3.85
Sb1 0.0000 0.2084 0.5000  4 Sb 3.08-3.15
Sb2 0.0000 0.3541 0.0000  4 Sb 3.08
Sb3 0.0000 0.5000 0.5000  4 Sb 3.08

Summary:
**Energy relative to the elements, uncorrected**: 2 kJ/mol of atoms
**Total moment**: 0.00 μB/f.u.
**Uncorrected energy**: -3.595 eV/atom
**ρ**: 5.78 g/cm3
**Distance to the lowest polymorph of the same formula**: 37 meV per atom

6.
The following is a PBE calculation of a relaxed structure of PuSn2Pd4, from Alexandria via LeMat-Bulk.

a = 7.9870 Å, b = 7.9870 Å, c = 4.3328 Å
α = 90.00°, β = 90.00°, γ = 90.00°
Last column: nearest neighbours and their distance in Å.
Space group P4_2/mnm (No. 136)
Inequivalent atoms, fractional coordinates:
Pu1 0.0000 0.0000 0.0000  6 Sn 3.21-3.26, 4 Pd 3.45
Sn1 0.2159 0.2159 0.5000  6 Pd 2.69-2.70
Pd1 0.0948 0.6504 0.5000  3 Sn 2.69-2.70, 6 Pd 2.84-2.95

Summary:
**Total moment**: 5.80 μB/f.u.
**Uncorrected energy**: -6.647 eV/atom
**ρ**: 10.90 g/cm3
**E_form**: -0.49 eV per atom
**Distance to the lowest polymorph of the same formula**: 0 meV per atom

7.
The following is a PBE calculation of a relaxed structure of ScMn2Ir, from Alexandria via LeMat-Bulk.

a = 3.1787 Å, b = 4.3943 Å, c = 8.9859 Å
α = 90.00°, β = 90.00°, γ = 90.00°
Last column: nearest neighbours and their distance in Å.
Space group Imm2 (No. 44)
Inequivalent atoms, fractional coordinates:
Sc1 0.0000 0.0000 0.0000  2 Ir 2.70, 8 Mn 2.73-3.02
Mn1 0.0000 0.0000 0.4685  2 Ir 2.58, 4 Sc 2.73, 2 Mn 2.84
Mn2 0.0000 0.5000 0.2306  4 Ir 2.71, 2 Mn 2.84, 4 Sc 2.90-3.02
Ir1 0.0000 0.5000 0.7430  6 Mn 2.58-2.71, 2 Sc 2.70

Summary:
**Total moment**: 6.73 μB/f.u.
**Uncorrected energy**: -8.496 eV/atom
**ρ**: 9.18 g/cm3
**E_form**: -0.11 eV per atom
**Distance to the lowest polymorph of the same formula**: 147 meV per atom

8.
The following is a PBE calculation of a relaxed structure of La6HoS8, from Alexandria via LeMat-Bulk.

a = 11.6927 Å, b = 11.6927 Å, c = 11.6927 Å
α = 90.00°, β = 90.00°, γ = 90.00°
Last column: nearest neighbours and their distance in Å.
Space group Fm-3m (No. 225)
Inequivalent atoms, fractional coordinates:
La1 0.0000 0.2500 0.2500  6 S 2.92-2.93
Ho1 0.0000 0.0000 0.0000  6 S 2.77
S1 0.0000 0.0000 0.2371  1 Ho 2.77, 4 La 2.93
S2 0.2500 0.2500 0.2500  6 La 2.92

Summary:
**Energy relative to the elements, uncorrected**: -208 kJ/mol of atoms
**Total moment**: 0.00 μB/f.u.
**Uncorrected energy**: -6.636 eV/atom
**ρ**: 5.21 g/cm3

9.
The following is a PBE calculation of a relaxed structure of Tm2Cd3Pd4, from Alexandria via LeMat-Bulk.

a = 8.2027 Å, b = 4.7417 Å, c = 8.9298 Å
α = 90.00°, β = 90.07°, γ = 90.00°
Last column: nearest neighbours and their distance in Å.
Space group C2/m (No. 12)
Inequivalent atoms, fractional coordinates:
Tm1 0.1668 0.0000 0.2868  7 Pd 2.87-2.95
Cd1 0.0000 0.5000 0.5000  8 Pd 2.90-3.00
Cd2 0.1667 0.0000 0.9268  4 Pd 2.85, 3 Cd 3.03
Pd1 0.0000 0.5000 0.1636  4 Cd 2.85-3.00, 1 Pd 2.92, 3 Tm 2.95
Pd2 0.1665 0.0000 0.6081  4 Cd 2.85-2.90, 4 Tm 2.87-2.89

Summary:
**Total moment**: 0.00 μB/f.u.
**Uncorrected energy**: -4.256 eV/atom
**ρ**: 10.53 g/cm3
**E_form**: -0.65 eV per atom

10.
The following is a PBE calculation of a relaxed structure of Tb8PdSe4S3, from Alexandria via LeMat-Bulk.

a = 8.0537 Å, b = 8.0537 Å, c = 19.9735 Å
α = 90.00°, β = 90.00°, γ = 120.00°
Last column: nearest neighbours and their distance in Å.
Space group R-3m (No. 166, hexagonal axes)
Inequivalent atoms, fractional coordinates:
Tb1 0.0000 0.0000 0.2424  3 S 2.77, 3 Se 2.95
Tb2 0.0023 0.5012 0.7553  2 S 2.79, 1 Pd 2.81, 3 Se 2.91-2.93
Pd1 0.0000 0.0000 0.5000  6 Tb 2.81
Se1 0.0000 0.0000 0.0000  6 Tb 2.91
Se2 0.0000 0.5000 0.0000  6 Tb 2.93-2.95
S1 0.0000 0.5000 0.5000  6 Tb 2.77-2.79

Summary:
**Energy relative to the elements, uncorrected**: -169 kJ/mol of atoms
**Total moment**: 0.00 μB/f.u.
**Uncorrected energy**: -6.034 eV/atom
**ρ**: 7.95 g/cm3

11.
The following is a PBE calculation of a relaxed structure of Er8Ga2Rh, from Alexandria via LeMat-Bulk.

a = 18.1882 Å, b = 4.8951 Å, c = 6.5199 Å
α = 90.00°, β = 101.57°, γ = 90.00°
Last column: nearest neighbours and their distance in Å.
Space group C2/m (No. 12)
Inequivalent atoms, fractional coordinates:
Er1 0.0244 0.0000 0.2785  2 Rh 2.92, 1 Ga 3.01, 1 Er 3.19
Er2 0.0900 0.5000 0.9559  1 Rh 3.09, 4 Er 3.37-3.43, 2 Ga 3.42
Er3 0.1514 0.5000 0.4805  1 Rh 2.78, 3 Ga 2.99-3.06
Er4 0.2103 0.0000 0.8202  3 Ga 2.96-3.17
Ga1 0.1885 0.0000 0.2585  7 Er 2.96-3.17
Rh1 0.0000 0.5000 0.5000  8 Er 2.78-3.09

Summary:
**Total moment**: 0.00 μB/f.u.
**Uncorrected energy**: -4.921 eV/atom
**ρ**: 9.23 g/cm3
**E_form**: -0.38 eV per atom

12.
The following is a PBE calculation of a relaxed structure of BePb2Br, from Alexandria via LeMat-Bulk.

a = 7.0699 Å, b = 4.0721 Å, c = 7.8566 Å
α = 90.00°, β = 107.88°, γ = 90.00°
Last column: nearest neighbours and their distance in Å.
Space group C2/m (No. 12)
Inequivalent atoms, fractional coordinates:
Be1 0.0000 0.0000 0.0000  6 Pb 2.71
Pb1 0.2287 0.5000 0.1801  3 Be 2.71
Br1 0.0000 0.5000 0.5000  6 Pb 3.34-3.38

Summary:
**Energy relative to the elements, uncorrected**: 11 kJ/mol of atoms
**Total moment**: 0.00 μB/f.u.
**Uncorrected energy**: -3.092 eV/atom
**ρ**: 7.77 g/cm3
**Distance to the lowest polymorph of the same formula**: 0 meV per atom

13.
The following is a PBE calculation of a relaxed structure of CoReNi, from Alexandria via LeMat-Bulk.

a = 4.4320 Å, b = 4.1878 Å, c = 4.4583 Å
α = 90.00°, β = 119.80°, γ = 90.00°
Last column: nearest neighbours and their distance in Å.
Space group P2_1/m (No. 11)
Inequivalent atoms, fractional coordinates:
Co1 0.1631 0.2500 0.4982  5 Re 2.52-2.66, 5 Ni 2.55-2.61, 2 Co 2.55
Re1 0.4944 0.7500 0.8138  5 Co 2.52-2.66, 5 Ni 2.53-2.62, 2 Re 2.66
Ni1 0.1586 0.7500 0.1604  5 Re 2.53-2.62, 2 Ni 2.53, 5 Co 2.55-2.61

Summary:
**Total moment**: 0.00 μB/f.u.
**Uncorrected energy**: -8.499 eV/atom
**ρ**: 14.05 g/cm3
**E_form**: -0.05 eV per atom
**Distance to the lowest polymorph of the same formula**: 0 meV per atom

14.
The following is a PBE calculation of a relaxed structure of Cu2TcNi, from Alexandria via LeMat-Bulk.

a = 2.5458 Å, b = 3.7187 Å, c = 5.2493 Å
α = 90.00°, β = 90.00°, γ = 90.00°
Last column: nearest neighbours and their distance in Å.
Space group Pmm2 (No. 25)
Inequivalent atoms, fractional coordinates:
Cu1 0.0000 0.0000 0.0000  6 Cu 2.55-2.56, 2 Ni 2.62, 4 Tc 2.69
Cu2 0.5000 0.5000 0.2307  6 Cu 2.55-2.56, 2 Tc 2.57-2.68, 4 Ni 2.66
Tc1 0.5000 0.5000 0.7204  4 Ni 2.53, 2 Tc 2.55, 6 Cu 2.57-2.69
Ni1 0.0000 0.0000 0.5000  4 Tc 2.53, 2 Ni 2.55, 6 Cu 2.62-2.66

Summary:
**Total moment**: 0.00 μB/f.u.
**Uncorrected energy**: -5.959 eV/atom
**ρ**: 9.48 g/cm3
**E_form**: 0.13 eV per atom
**Distance to the lowest polymorph of the same formula**: 74 meV per atom

15.
The following is a PBE calculation of a relaxed structure of HfNbVNi, from Alexandria via LeMat-Bulk.

a = 6.3357 Å, b = 6.3357 Å, c = 6.3357 Å
α = 90.00°, β = 90.00°, γ = 90.00°
Last column: nearest neighbours and their distance in Å.
Space group F-43m (No. 216)
Inequivalent atoms, fractional coordinates:
Hf1 0.0000 0.0000 0.0000  4 Ni 2.74, 4 V 2.74
Nb1 0.0000 0.0000 0.5000  4 Ni 2.74, 4 V 2.74
V1 0.2500 0.2500 0.7500  4 Hf 2.74, 4 Nb 2.74
Ni1 0.2500 0.2500 0.2500  4 Hf 2.74, 4 Nb 2.74

Summary:
**Total moment**: 0.16 μB/f.u.
**Uncorrected energy**: -8.769 eV/atom
**ρ**: 9.95 g/cm3
**E_form**: -0.04 eV per atom

16.
The following is a PBE calculation of a relaxed structure of BaNi2Br, from Alexandria via LeMat-Bulk.

a = 4.2134 Å, b = 4.6226 Å, c = 4.9482 Å
α = 90.00°, β = 90.00°, γ = 90.00°
Last column: nearest neighbours and their distance in Å.
Space group Pmmm (No. 47)
Inequivalent atoms, fractional coordinates:
Ba1 0.0000 0.0000 0.0000  8 Ni 3.34, 4 Br 3.39
Ni1 0.5000 0.5000 0.2390  2 Ni 2.37-2.58, 2 Br 2.47
Br1 0.0000 0.5000 0.5000  4 Ni 2.47

Summary:
**Energy relative to the elements, uncorrected**: -10 kJ/mol of atoms
**Total moment**: 0.00 μB/f.u.
**Uncorrected energy**: -3.893 eV/atom
**ρ**: 5.77 g/cm3
**Distance to the lowest polymorph of the same formula**: 63 meV per atom

17.
The following is a PBE calculation of a relaxed structure of CdHgSe2, from Alexandria via LeMat-Bulk.

a = 6.1287 Å, b = 12.6292 Å, c = 6.2228 Å
α = 90.00°, β = 90.00°, γ = 90.00°
Last column: nearest neighbours and their distance in Å.
Space group Pbcn (No. 60)
Inequivalent atoms, fractional coordinates:
Cd1 0.0000 0.2475 0.2500  4 Se 2.73-2.74
Hg1 0.0000 0.4018 0.7500  2 Se 2.50
Se1 0.2186 0.1217 0.5380  1 Hg 2.50, 2 Cd 2.73-2.74

Summary:
**Energy relative to the elements, uncorrected**: -35 kJ/mol of atoms
**Total moment**: 0.00 μB/f.u.
**Uncorrected energy**: -2.414 eV/atom
**ρ**: 6.49 g/cm3
**Distance to the lowest polymorph of the same formula**: 50 meV per atom

18.
The following is a PBE calculation of a relaxed structure of ZnInCl, from Alexandria via LeMat-Bulk.

a = 3.4727 Å, b = 3.4727 Å, c = 7.6926 Å
α = 90.00°, β = 90.00°, γ = 120.00°
Last column: nearest neighbours and their distance in Å.
Space group P3m1 (No. 156)
Inequivalent atoms, fractional coordinates:
Zn1 0.0000 0.0000 0.0000  3 Cl 2.49
In1 0.3333 0.6667 0.7020  3 Zn 3.05
Cl1 0.6667 0.3333 0.1914  3 Zn 2.49

Summary:
**Energy relative to the elements, uncorrected**: -32 kJ/mol of atoms
**Total moment**: 0.00 μB/f.u.
**Uncorrected energy**: -2.283 eV/atom
**ρ**: 4.46 g/cm3
**Distance to the lowest polymorph of the same formula**: 0 meV per atom

19.
The following is a PBE calculation of a relaxed structure of SrTcMo3, from Alexandria via LeMat-Bulk.

a = 4.8511 Å, b = 4.8511 Å, c = 4.8511 Å
α = 90.00°, β = 90.00°, γ = 90.00°
Last column: nearest neighbours and their distance in Å.
Space group Pm-3m (No. 221)
Inequivalent atoms, fractional coordinates:
Sr1 0.0000 0.0000 0.0000  12 Mo 3.43
Tc1 0.5000 0.5000 0.5000  6 Mo 2.43
Mo1 0.0000 0.5000 0.5000  2 Tc 2.43

Summary:
**Total moment**: 2.50 μB/f.u.
**Uncorrected energy**: -7.643 eV/atom
**ρ**: 6.89 g/cm3
**E_form**: 1.26 eV per atom
**Distance to the lowest polymorph of the same formula**: 0 meV per atom